# 1
The following is a DFT calculation (GGA-PBE) of a relaxed structure of Cd2HgBrO.

Results
**Size of the total moment**: 0.000 μB per formula unit
**D(E_F)**: 3.0768 states/eV/atom
**Energy relative to the elements, uncorrected**: 805 meV/atom

Geometry as extended XYZ:
```
5
Lattice="5.628 0.000 0.000 0.000 6.428 0.000 0.000 0.000 5.628" Properties=species:S:1:pos:R:3 pbc="T T T"
Cd 2.814 0.000 0.000
Cd 0.000 0.000 2.814
Hg 0.000 3.214 0.000
O 2.814 3.214 2.814
Br 0.000 0.000 0.000
```

# 2
The following is a DFT calculation (GGA-PBE) of a relaxed structure of Rb3CdHg2Br9.

Results
**Size of the total moment**: 0.000 μB per formula unit
**D(E_F)**: 0.1188 states/eV/atom
**Energy relative to the elements, uncorrected**: -1011 meV/atom

Geometry as extended XYZ:
```
15
Lattice="7.947 0.000 0.000 -3.974 6.883 0.000 0.000 0.000 9.744" Properties=species:S:1:pos:R:3 pbc="T T T"
Rb 0.000 0.000 0.000
Rb 3.974 2.294 3.253
Rb 0.000 4.588 6.491
Br 5.976 1.138 6.479
Br 2.003 5.745 3.266
Br 1.987 3.441 0.000
Br 3.974 0.000 0.000
Br -2.003 5.745 3.266
Br 0.000 2.276 3.266
Br -1.987 3.441 0.000
Br 1.971 1.138 6.479
Br 3.974 4.607 6.479
Hg 3.974 2.294 8.110
Hg 0.000 4.588 1.634
Cd 0.000 0.000 4.872
```

# 3
The following is a DFT calculation (GGA-PBE) of a relaxed structure of RbCdHgBr.

Results
**Size of the total moment**: 0.000 μB per formula unit
**Energy relative to the elements, uncorrected**: -628 meV/atom

Geometry as extended XYZ:
```
4
Lattice="-1.175 2.349 5.278 1.410 -2.937 4.913 4.402 1.918 3.419" Properties=species:S:1:pos:R:3 pbc="T T T"
Br 1.159 0.332 3.403
Rb 0.000 0.000 0.000
Hg 3.478 0.997 10.208
Cd 2.319 0.665 6.805
```